Entry 1:
Entry from Alexandria: CeGaSi2 after structural relaxation (PBE-GGA).

The calculation puts the uncorrected formation energy at -156 kJ/mol of formula units. The calculated total energy comes out at -5.36 eV per atom. Its mass density is 5.854 Mg/m³. Its crystal system is tetragonal. The magnetization comes out at 0.00 μB per cell.

```
CeGaSi2
1.0
4.287 0.000 0.000
0.000 4.287 0.000
0.000 0.000 4.105
Ce Ga Si
1 1 2
direct
0.000 0.000 0.000
0.500 0.500 0.000
0.000 0.500 0.500
0.500 0.000 0.500
```


Entry 2:
Entry from Alexandria: KCaF2 after structural relaxation (PBE-GGA).

The calculation puts the uncorrected formation energy at -1038 kJ/mol of formula units. The calculated total energy comes out at -4.40 eV per atom. Its mass density is 1.819 Mg/m³. The calculation puts the distance to the lowest polymorph of the same formula at 0.286 eV/f.u. Its crystal system is tetragonal. The magnetization comes out at 0.00 μB per cell.

```
KCaF2
1.0
-3.043 3.043 5.776
3.043 -3.043 5.776
3.043 3.043 -5.776
K Ca F
2 2 4
direct
0.000 0.000 0.000
0.750 0.250 0.500
0.250 0.750 0.500
0.500 0.500 0.000
0.246 0.625 0.121
0.375 0.496 0.621
0.504 0.125 0.879
0.875 0.754 0.379
```


Entry 3:
Entry from Alexandria: NaTmMnI6 after structural relaxation (PBE-GGA).

The calculation puts the uncorrected formation energy at -879 kJ/mol of formula units. The calculated total energy comes out at -3.71 eV per atom. Its mass density is 4.679 Mg/m³. Its crystal system is trigonal. The magnetization comes out at 10.00 μB per cell.

```
NaTmMnI6
1.0
7.539 0.000 0.000
-3.770 6.529 0.000
0.000 0.000 14.538
Na Tm Mn I
2 2 2 12
direct
0.000 0.000 0.000
0.000 0.000 0.500
0.333 0.667 0.250
0.667 0.333 0.750
0.333 0.667 0.750
0.667 0.333 0.250
0.009 0.361 0.633
0.009 0.648 0.867
0.352 0.361 0.867
0.352 0.991 0.633
0.361 0.009 0.133
0.361 0.352 0.367
0.639 0.648 0.633
0.639 0.991 0.867
0.648 0.009 0.367
0.648 0.639 0.133
0.991 0.352 0.133
0.991 0.639 0.367
```


Entry 4:
Entry from Alexandria: Mn2Cd2Rh after structural relaxation (PBE-GGA).

The calculated total energy comes out at -5.09 eV per atom. Its mass density is 8.275 Mg/m³. The calculation puts the distance to the lowest polymorph of the same formula at 0.000 eV/f.u. Its crystal system is tetragonal. The magnetization comes out at 15.88 μB per cell.

```
Mn2Cd2Rh
1.0
7.325 0.000 0.000
0.000 7.325 0.000
0.000 0.000 3.273
Mn Cd Rh
4 4 2
direct
0.168 0.332 0.000
0.332 0.832 0.000
0.668 0.168 0.000
0.832 0.668 0.000
0.136 0.636 0.500
0.364 0.136 0.500
0.636 0.864 0.500
0.864 0.364 0.500
0.000 0.000 0.500
0.500 0.500 0.500
```


Entry 5:
Entry from Alexandria: BeSnB2 after structural relaxation (PBE-GGA).

The calculated total energy comes out at -5.06 eV per atom. Its mass density is 4.500 Mg/m³. The calculation puts the distance to the lowest polymorph of the same formula at 0.326 eV/f.u. Its crystal system is triclinic. The magnetization comes out at 0.00 μB per cell.

```
BeSnB2
1.0
3.496 0.000 0.000
-0.718 4.516 0.000
-1.187 -1.680 6.981
Be Sn B
2 2 4
direct
0.112 0.373 0.094
0.888 0.627 0.906
0.368 0.268 0.600
0.632 0.732 0.400
0.240 0.996 0.985
0.454 0.691 0.044
0.546 0.309 0.956
0.760 0.004 0.015
```


Entry 6:
Entry from Alexandria: Pr3Nd12Th5 after structural relaxation (PBE-GGA).

The calculated total energy comes out at -4.32 eV per atom. Its mass density is 6.739 Mg/m³. Its crystal system is cubic. The magnetization comes out at 0.01 μB per cell.

```
Pr3Nd12Th5
1.0
-9.347 9.347 9.347
9.347 -9.347 9.347
9.347 9.347 -9.347
Pr Nd Th
12 48 20
direct
0.125 0.250 0.375
0.125 0.375 0.750
0.250 0.375 0.125
0.250 0.875 0.625
0.375 0.125 0.250
0.375 0.750 0.125
0.625 0.250 0.875
0.625 0.875 0.750
0.750 0.125 0.375
0.750 0.625 0.875
0.875 0.625 0.250
0.875 0.750 0.625
0.064 0.630 0.397
0.064 0.935 0.667
0.065 0.232 0.130
0.065 0.333 0.936
0.103 0.732 0.667
0.103 0.870 0.436
0.130 0.065 0.232
0.130 0.564 0.897
0.167 0.232 0.603
0.167 0.435 0.564
0.232 0.130 0.065
0.232 0.603 0.167
0.268 0.333 0.897
0.268 0.435 0.370
0.333 0.897 0.268
0.333 0.936 0.065
0.370 0.268 0.435
0.370 0.603 0.936
0.397 0.064 0.630
0.397 0.833 0.768
0.435 0.370 0.268
0.435 0.564 0.167
0.436 0.103 0.870
0.436 0.833 0.565
0.564 0.167 0.435
0.564 0.897 0.130
0.565 0.436 0.833
0.565 0.630 0.732
0.603 0.167 0.232
0.603 0.936 0.370
0.630 0.397 0.064
0.630 0.732 0.565
0.667 0.064 0.935
0.667 0.103 0.732
0.732 0.565 0.630
0.732 0.667 0.103
0.768 0.397 0.833
0.768 0.870 0.935
0.833 0.565 0.436
0.833 0.768 0.397
0.870 0.436 0.103
0.870 0.935 0.768
0.897 0.130 0.564
0.897 0.268 0.333
0.935 0.667 0.064
0.935 0.768 0.870
0.936 0.065 0.333
0.936 0.370 0.603
0.000 0.000 0.000
0.000 0.000 0.500
0.000 0.500 0.000
0.000 0.500 0.500
0.125 0.750 0.875
0.125 0.875 0.250
0.250 0.125 0.875
0.250 0.625 0.375
0.375 0.250 0.625
0.375 0.625 0.750
0.500 0.000 0.000
0.500 0.000 0.500
0.500 0.500 0.000
0.500 0.500 0.500
0.625 0.375 0.250
0.625 0.750 0.375
0.750 0.375 0.625
0.750 0.875 0.125
0.875 0.125 0.750
0.875 0.250 0.125
```


Entry 7:
Entry from Alexandria: Cs3LiU2Se6 after structural relaxation (PBE-GGA).

The calculation puts the uncorrected formation energy at -1440 kJ/mol of formula units. The calculated total energy comes out at -5.24 eV per atom. Its mass density is 5.651 Mg/m³. Its crystal system is monoclinic. The magnetization comes out at 4.00 μB per cell.

```
Cs3LiU2Se6
1.0
3.716 -6.447 0.000
3.716 6.447 0.000
-2.452 0.000 8.313
Cs Li U Se
3 1 2 6
direct
0.000 0.000 0.000
0.341 0.659 0.000
0.659 0.341 0.000
0.500 0.500 0.500
0.167 0.833 0.500
0.833 0.167 0.500
0.089 0.439 0.315
0.213 0.213 0.680
0.439 0.089 0.315
0.561 0.911 0.685
0.787 0.787 0.320
0.911 0.561 0.685
```


Entry 8:
Entry from Alexandria: Sm3Sn2Pb after structural relaxation (PBE-GGA).

The calculated total energy comes out at -4.85 eV per atom. Its mass density is 7.975 Mg/m³. The calculation puts the distance to the lowest polymorph of the same formula at 0.440 eV/f.u. Its crystal system is monoclinic. The magnetization comes out at 0.00 μB per cell.

```
Sm3Sn2Pb
1.0
8.138 -3.178 0.000
8.138 3.178 0.000
-1.674 0.000 7.211
Sm Sn Pb
6 4 2
direct
0.011 0.989 0.750
0.325 0.335 0.415
0.335 0.325 0.915
0.665 0.675 0.085
0.675 0.665 0.585
0.989 0.011 0.250
0.161 0.171 0.083
0.171 0.161 0.583
0.829 0.839 0.417
0.839 0.829 0.917
0.489 0.511 0.250
0.511 0.489 0.750
```


Entry 9:
Entry from Alexandria: CaMn2Pt after structural relaxation (PBE-GGA).

The calculated total energy comes out at -6.69 eV per atom. Its mass density is 7.741 Mg/m³. Its crystal system is tetragonal. The magnetization comes out at 0.23 μB per cell.

```
CaMn2Pt
1.0
3.242 0.000 0.000
0.000 3.242 0.000
0.000 0.000 7.040
Ca Mn Pt
1 2 1
direct
0.000 0.000 0.000
0.000 0.000 0.514
0.500 0.500 0.346
0.500 0.500 0.719
```


Entry 10:
Entry from Alexandria: LiDyYPb after structural relaxation (PBE-GGA).

The calculated total energy comes out at -4.46 eV per atom. Its mass density is 7.421 Mg/m³. Its crystal system is cubic. The magnetization comes out at 0.00 μB per cell.

```
LiDyYPb
1.0
0.000 3.735 3.735
3.735 0.000 3.735
3.735 3.735 0.000
Li Dy Y Pb
1 1 1 1
direct
0.000 0.000 0.000
0.750 0.750 0.750
0.250 0.250 0.250
0.500 0.500 0.500
```


Entry 11:
Entry from Alexandria: CsHg2SbAu2 after structural relaxation (PBE-GGA).

The calculation puts the uncorrected formation energy at -150 kJ/mol of formula units. The calculated total energy comes out at -2.28 eV per atom. Its mass density is 8.727 Mg/m³. Its crystal system is orthorhombic. The magnetization comes out at 0.00 μB per cell.

```
CsHg2SbAu2
1.0
7.659 0.000 0.000
0.000 5.157 0.000
0.000 0.000 10.115
Cs Hg Sb Au
2 4 2 4
direct
0.250 0.000 0.161
0.750 0.000 0.839
0.000 0.000 0.500
0.250 0.500 0.457
0.500 0.000 0.500
0.750 0.500 0.543
0.250 0.500 0.816
0.750 0.500 0.184
0.000 0.500 0.000
0.250 0.000 0.732
0.500 0.500 0.000
0.750 0.000 0.268
```


Entry 12:
Entry from Alexandria: Tm5ThZn4 after structural relaxation (PBE-GGA).

The calculated total energy comes out at -3.77 eV per atom. Its mass density is 9.404 Mg/m³. Its crystal system is tetragonal. The magnetization comes out at 0.00 μB per cell.

```
Tm5ThZn4
1.0
3.523 0.000 0.000
0.000 3.523 0.000
0.000 0.000 19.039
Tm Th Zn
5 1 4
direct
0.000 0.000 0.000
0.000 0.000 0.184
0.000 0.000 0.370
0.000 0.000 0.630
0.000 0.000 0.816
0.500 0.500 0.500
0.500 0.500 0.093
0.500 0.500 0.277
0.500 0.500 0.723
0.500 0.500 0.907
```


> Number 3 is which compound?

NaTmMnI6


> Among the records above, which one has the highest magnetization?

Mn2Cd2Rh


> mass density of number 5 (BeSnB2)?

4.500 Mg/m³